VASP calculation (PBE-GGA) on an optimized crystal structure of Mg2ZrCd2.

Properties
The calculation puts the formation energy at 0.1188 eV per atom. The density of states at the Fermi level is 0.7279 states/eV per atom. The energy comes out at -2.5947 eV/atom.

Cell lengths 4.159, 4.159, 12.957 Å; angles 90.00, 90.00, 90.00 degrees
Space group I4/mmm (No. 139)
Unique sites:
Mg 0.000 0.500 0.250 (multiplicity 4)
Zr 0.000 0.000 0.000 (multiplicity 2)
Cd 0.000 0.000 0.398 (multiplicity 4)